# 1
DFT (PBE-GGA) results for an optimized crystal structure of Pm4Y2Er5.

It has space group C2/m (No. 12), with a = 16.5153 Å, b = 6.6808 Å, c = 6.6818 Å, α = 90.00°, β = 99.42° and γ = 90.00°. The asymmetric unit holds Pm at (0.0879, 0.0000, 0.4026), Pm at (0.2460, 0.5000, 0.8129), Y at (0.1998, 0.5000, 0.3014), Er at (0.0000, 0.5000, 0.5000) and Er at (0.0880, 0.2418, 0.9030).

The calculation puts the formation energy at 0.165 eV/atom. The energy above the most stable polymorph in this dataset is 0.065 eV per atom. As for the crystal system: monoclinic.

***

# 2
DFT (PBE-GGA) results for an optimized crystal structure of SiMo2Rh.

It has space group P4mm (No. 99), with a = 3.1517 Å, b = 3.1517 Å, c = 5.9180 Å, α = 90.00°, β = 90.00° and γ = 90.00°. The asymmetric unit holds Si at (0.0000, 0.0000, 0.0000), Mo at (0.0000, 0.0000, 0.4841), Mo at (0.5000, 0.5000, 0.2495) and Rh at (0.5000, 0.5000, 0.7834).

As for the crystal system: tetragonal.

***

Sequential calculated total energy output: -4.812; -8.803 eV/atom